The following is a DFT calculation (PBE) of a relaxed structure of La2Ce2Th15.

Results
V in Å³ per atom: 34.5
E in hartree per atom: -0.248
Energy of formation from the pure elements in eV per atom: 0.2500

Cell: 11.4920 11.4920 17.1782 Å, 90.00 90.00 120.00°
Space group R-3m (No. 166, hexagonal axes)
One atom of each set of equivalent atoms:
La  0.0000  0.0000  0.1697 (multiplicity 6)
Ce  0.0000  0.0000  0.4164 (multiplicity 6)
Th  0.0000  0.2990  0.5000 (multiplicity 18)
Th  0.0000  0.5000  0.0000 (multiplicity 9)
Th  0.0039  0.5019  0.6547 (multiplicity 18)

---

The following is a DFT calculation (PBE) of a relaxed structure of AlCd2O3.

Results
V in Å³ per atom: 14.2
E in hartree per atom: -0.184
ΔE_f (raw) in eV per atom: -1.599

Cell: 10.739 6.362 5.597 Å, 90.00 117.11 90.00°
Space group C2/c (No. 15)
One atom of each set of equivalent atoms:
Al  0.000  0.073  0.250 (multiplicity 4)
Cd  0.161  0.399  0.724 (multiplicity 8)
O  0.000  0.363  0.250 (multiplicity 4)
O  0.123  0.046  0.639 (multiplicity 8)

---

The following is a DFT calculation (PBE) of a relaxed structure of PmNdBi.

Results
V in Å³ per atom: 33.3
E in hartree per atom: -0.176
Energy of formation from the pure elements in eV per atom: -0.3353
Energy above the most stable polymorph in this dataset in meV/atom: 335.1

Cell: 3.502 6.042 18.894 Å, 90.00 90.00 90.00°
Space group Immm (No. 71)
One atom of each set of equivalent atoms:
Pm  0.000  0.244  0.000 (multiplicity 4)
Nd  0.000  0.500  0.329 (multiplicity 4)
Bi  0.000  0.500  0.156 (multiplicity 4)

---

The following is a DFT calculation (PBE) of a relaxed structure of AcPt2S8.

Results
V in Å³ per atom: 23.6
E in hartree per atom: -0.178
ΔE_f (raw) in eV per atom: -0.369

Cell: 4.756 6.160 9.002 Å, 85.71 81.00 86.01°
Space group P-1 (No. 2)
One atom of each set of equivalent atoms:
Ac  0.000  0.000  0.000 (multiplicity 1)
Pt  0.127  0.130  0.341 (multiplicity 2)
S  0.004  0.498  0.385 (multiplicity 2)
S  0.349  0.886  0.703 (multiplicity 2)
S  0.405  0.802  0.312 (multiplicity 2)
S  0.492  0.704  0.092 (multiplicity 2)

---

The following is a DFT calculation (PBE) of a relaxed structure of Rb4Pu3ZnSe8.

Results
V in Å³ per atom: 31.3
E in hartree per atom: -0.219
ΔE_f (raw) in eV per atom: -1.215

Cell: 14.940 8.466 9.333 Å, 90.00 121.95 90.00°
Space group C2/m (No. 12)
One atom of each set of equivalent atoms:
Rb  0.000  0.000  0.000 (multiplicity 2)
Rb  0.000  0.500  0.000 (multiplicity 2)
Rb  0.250  0.250  0.000 (multiplicity 4)
Pu  0.000  0.000  0.500 (multiplicity 2)
Pu  0.250  0.250  0.500 (multiplicity 4)
Zn  0.000  0.500  0.500 (multiplicity 2)
Se  0.019  0.262  0.315 (multiplicity 8)
Se  0.232  0.000  0.696 (multiplicity 4)
Se  0.237  0.500  0.696 (multiplicity 4)

---

The following is a DFT calculation (PBE) of a relaxed structure of CsRb2ZnCl6.

Results
V in Å³ per atom: 36.1
E in hartree per atom: -0.106
ΔE_f (raw) in eV per atom: -1.357

Cell: 7.994 7.994 11.298 Å, 90.00 90.00 90.00°
Space group I4/mmm (No. 139)
One atom of each set of equivalent atoms:
Cs  0.000  0.000  0.000 (multiplicity 2)
Rb  0.000  0.500  0.250 (multiplicity 4)
Zn  0.000  0.000  0.500 (multiplicity 2)
Cl  0.000  0.000  0.284 (multiplicity 4)
Cl  0.216  0.216  0.500 (multiplicity 8)

---

The following is a DFT calculation (PBE) of a relaxed structure of PrTm5Pb6.

Results
V in Å³ per atom: 29.2
E in hartree per atom: -0.166
Energy of formation from the pure elements in eV per atom: -0.3968
Energy above the most stable polymorph in this dataset in meV/atom: 0.0

Cell: 6.119 15.299 7.712 Å, 90.00 103.81 90.00°
Space group C2/m (No. 12)
One atom of each set of equivalent atoms:
Pr  0.000  0.000  0.000 (multiplicity 2)
Tm  0.000  0.000  0.500 (multiplicity 2)
Tm  0.000  0.329  0.000 (multiplicity 4)
Tm  0.000  0.342  0.500 (multiplicity 4)
Pb  0.003  0.171  0.738 (multiplicity 8)
Pb  0.017  0.500  0.242 (multiplicity 4)

---

The following is a DFT calculation (PBE) of a relaxed structure of AlOs.

Results
V in Å³ per atom: 13.7
E in hartree per atom: -0.289
Energy of formation from the pure elements in eV per atom: -0.3706

Cell: 3.017 3.017 3.017 Å, 90.00 90.00 90.00°
Space group Pm-3m (No. 221)
One atom of each set of equivalent atoms:
Al  0.000  0.000  0.000 (multiplicity 1)
Os  0.500  0.500  0.500 (multiplicity 1)

---

The following is a DFT calculation (PBE) of a relaxed structure of PuSi2Ni4.

Results
V in Å³ per atom: 13.6
E in hartree per atom: -0.273
ΔE_f (raw) in eV per atom: -0.524

Cell: 7.175 7.175 3.690 Å, 90.00 90.00 90.00°
Space group P4_2/mnm (No. 136)
One atom of each set of equivalent atoms:
Pu  0.000  0.000  0.000 (multiplicity 2)
Si  0.221  0.221  0.500 (multiplicity 4)
Ni  0.088  0.658  0.500 (multiplicity 8)

---

The following is a DFT calculation (PBE) of a relaxed structure of SmB2C2.

Results
V in Å³ per atom: 10.8
E in hartree per atom: -0.284
Energy of formation from the pure elements in eV per atom: -0.4308

Cell: 5.382 5.382 3.723 Å, 90.00 90.00 90.00°
Space group P4/mbm (No. 127)
One atom of each set of equivalent atoms:
Sm  0.000  0.000  0.000 (multiplicity 2)
B  0.138  0.362  0.500 (multiplicity 4)
C  0.161  0.661  0.500 (multiplicity 4)

---

The following is a DFT calculation (PBE) of a relaxed structure of HgI2.

Results
V in Å³ per atom: 46.9
E in hartree per atom: -0.053
ΔE_f (raw) in eV per atom: -0.296

Cell: 13.255 13.255 25.614 Å, 90.00 90.00 90.00°
Space group I4_1/acd (No. 142, origin choice 2)
One atom of each set of equivalent atoms:
Hg  0.113  0.123  0.313 (multiplicity 32)
I  0.000  0.250  0.006 (multiplicity 16)
I  0.013  0.003  0.625 (multiplicity 32)
I  0.244  0.000  0.250 (multiplicity 16)

---

The following is a DFT calculation (PBE) of a relaxed structure of CeZnPb2.

Results
V in Å³ per atom: 27.4
E in hartree per atom: -0.137
Energy of formation from the pure elements in eV per atom: -0.0735
Energy above the most stable polymorph in this dataset in meV/atom: 214.6

Cell: 4.9025 4.9025 15.7971 Å, 90.00 90.00 120.00°
Space group R-3m (No. 166, hexagonal axes)
One atom of each set of equivalent atoms:
Ce  0.0000  0.0000  0.0000 (multiplicity 3)
Zn  0.0000  0.0000  0.5000 (multiplicity 3)
Pb  0.0000  0.0000  0.2312 (multiplicity 6)